LiCrSe2N: optimized geometry, PBE.

Results
The value obtained for the distance to the lowest polymorph of the same formula is 22.507 kcal/mol of atoms. The calculation puts the formation energy without anion corrections at 0.833 eV per atom.

a b c (Å): 4.7273 4.7273 3.5141
angles (deg): 90.00 90.00 90.00
Element x y z (fractional)
Li 0.0000 0.0000 0.0000
Cr 0.5000 0.5000 0.5000
Se 0.0000 0.5000 0.0000
Se 0.5000 0.0000 0.0000
N 0.0000 0.0000 0.5000